No. 1
Here is a geometry-optimized CrAs structure from Alexandria via LeMat-Bulk. Energies are from GGA-PBE.

Results
raw total energy	-7.15	eV per atom

Unit cell a=4.633 b=4.633 c=6.502 alpha=104.05 beta=104.05 gamma=39.90
Fractional positions:
Cr 0.000 0.000 0.000
Cr 0.070 0.070 0.607
Cr 0.298 0.298 0.303
As 0.372 0.372 0.698
As 0.584 0.584 0.316
As 0.701 0.701 0.936

=====

No. 2
Here is a geometry-optimized CrAs structure from Alexandria via LeMat-Bulk. Energies are from GGA-PBE.

Results
raw total energy	-6.84	eV per atom

Unit cell a=5.322 b=5.322 c=4.820 alpha=90.00 beta=90.00 gamma=90.00
Fractional positions:
Cr 0.142 0.142 0.000
Cr 0.358 0.642 0.500
Cr 0.642 0.358 0.500
Cr 0.858 0.858 0.000
As 0.206 0.206 0.500
As 0.294 0.706 0.000
As 0.706 0.294 0.000
As 0.794 0.794 0.500

=====

No. 3
Here is a geometry-optimized CrAs3 structure from Alexandria via LeMat-Bulk. Energies are from GGA-PBE.

Results
raw total energy	-5.90	eV per atom
distance to the lowest polymorph of the same formula	0.000	eV per atom

Unit cell a=3.148 b=7.924 c=5.475 alpha=90.00 beta=90.00 gamma=90.00
Fractional positions:
Cr 0.250 0.250 0.062
Cr 0.750 0.750 0.938
As 0.250 0.564 0.190
As 0.250 0.750 0.598
As 0.250 0.936 0.190
As 0.750 0.064 0.810
As 0.750 0.250 0.402
As 0.750 0.436 0.810

=====

No. 4
Here is a geometry-optimized CrAs3 structure from Alexandria via LeMat-Bulk. Energies are from GGA-PBE.

Results
raw total energy	-5.87	eV per atom
distance to the lowest polymorph of the same formula	0.032	eV per atom

Unit cell a=5.617 b=5.617 c=3.157 alpha=90.00 beta=90.00 gamma=132.50
Fractional positions:
Cr 0.000 0.000 0.000
As 0.185 0.815 0.500
As 0.500 0.500 0.000
As 0.815 0.185 0.500

=====

No. 5
Here is a geometry-optimized CrAs3 structure from Alexandria via LeMat-Bulk. Energies are from GGA-PBE.

Results
raw total energy	-5.73	eV per atom
distance to the lowest polymorph of the same formula	0.174	eV per atom

Unit cell a=8.710 b=8.710 c=8.710 alpha=20.02 beta=20.02 gamma=20.02
Fractional positions:
Cr 0.000 0.000 0.000
As 0.266 0.266 0.266
As 0.500 0.500 0.500
As 0.734 0.734 0.734

=====

No. 6
Here is a geometry-optimized CrAs structure from Alexandria via LeMat-Bulk. Energies are from GGA-PBE.

Results
raw total energy	-7.13	eV per atom

Unit cell a=4.579 b=4.579 c=4.301 alpha=101.51 beta=101.51 gamma=39.76
Fractional positions:
Cr 0.102 0.102 0.294
Cr 0.898 0.898 0.706
As 0.377 0.377 0.202
As 0.623 0.623 0.798